(1)
VASP calculation (GGA-PBE) on an optimized crystal structure of CsAlGePb.

Computed properties:
**Mass density**: 5.19 g cm⁻³
**Volume**: 281.2 Å³/cell
**Raw total energy**: -3.302 eV per atom
**Energy of formation from the pure elements**: -0.0718 eV per atom
**Crystal system**: tetragonal
**Space-group type**: P4/nmm, No. 129

a b c (Å): 4.341 4.341 14.917
angles (deg): 90.00 90.00 90.00
Sites, in units of the cell vectors:
Al  0.750  0.250  0.000
Al  0.250  0.750  0.000
Cs  0.750  0.750  0.241
Ge  0.250  0.250  0.102
Pb  0.250  0.750  0.500
Pb  0.750  0.250  0.500
Cs  0.250  0.250  0.759
Ge  0.750  0.750  0.898


(2)
VASP calculation (GGA-PBE) on an optimized crystal structure of BaNaBe2In.

Computed properties:
**Mass density**: 2.40 g cm⁻³
**Volume**: 202.7 Å³/cell
**Raw total energy**: -1.176 eV per atom
**Energy of formation from the pure elements**: 1.5109 eV per atom
**Crystal system**: tetragonal
**Space-group type**: P4/mmm, No. 123

a b c (Å): 5.631 6.393 5.631
angles (deg): 90.00 90.00 90.00
Sites, in units of the cell vectors:
Be  0.000  0.000  0.500
Na  0.000  0.500  0.000
Ba  0.000  0.000  0.000
Be  0.500  0.000  0.000
In  0.500  0.500  0.500


(3)
VASP calculation (GGA-PBE) on an optimized crystal structure of Cu2IrSe.

Computed properties:
**Mass density**: 11.15 g cm⁻³
**Volume**: 59.3 Å³/cell
**Raw total energy**: -4.774 eV per atom
**Crystal system**: orthorhombic
**ΔE_f (raw)**: 0.3609 eV/atom
**Space-group type**: Cmmm, No. 65

a b c (Å): 2.793 2.793 8.646
angles (deg): 90.00 90.00 118.43
Sites, in units of the cell vectors:
Cu  0.000  0.000  0.005
Se  0.500  0.500  0.750
Ir  0.500  0.500  0.250
Cu  0.000  0.000  0.495


(4)
VASP calculation (GGA-PBE) on an optimized crystal structure of BaSrSb2.

Computed properties:
**Mass density**: 5.50 g cm⁻³
**Volume**: 141.5 Å³/cell
**Raw total energy**: -3.800 eV per atom
**Crystal system**: tetragonal
**ΔE_f (raw)**: -0.8375 eV/atom
**Energy relative to the lowest polymorph listed for this composition**: 60 meV per atom
**Space-group type**: P4/mmm, No. 123

a b c (Å): 6.201 3.682 6.200
angles (deg): 89.99 90.00 90.00
Sites, in units of the cell vectors:
Ba  0.500  0.626  0.875
Sb  0.000  0.125  0.875
Sr  0.000  0.624  0.375
Sb  0.500  0.125  0.375


(5)
VASP calculation (GGA-PBE) on an optimized crystal structure of NaCoRu.

Computed properties:
**Mass density**: 5.48 g cm⁻³
**Volume**: 110.8 Å³/cell
**Raw total energy**: -5.501 eV per atom
**Energy of formation from the pure elements**: 0.3997 eV per atom
**Crystal system**: monoclinic
**Energy relative to the lowest polymorph listed for this composition**: 4 meV per atom
**Space-group type**: Pm, No. 6

a b c (Å): 3.993 10.399 2.688
angles (deg): 83.14 90.00 90.00
Sites, in units of the cell vectors:
Ru  0.528  0.651  0.850
Co  0.028  0.944  0.714
Ru  0.028  0.735  0.310
Na  0.027  0.442  0.446
Co  0.528  0.884  0.253
Na  0.527  0.154  0.058


(6)
VASP calculation (GGA-PBE) on an optimized crystal structure of CdPtPb2.

Computed properties:
**Mass density**: 11.87 g cm⁻³
**Volume**: 101.0 Å³/cell
**Raw total energy**: -3.616 eV per atom
**Energy of formation from the pure elements**: -0.0231 eV per atom
**Crystal system**: orthorhombic
**Space-group type**: Imm2, No. 44

a b c (Å): 6.677 6.677 6.677
angles (deg): 151.20 134.91 54.39
Sites, in units of the cell vectors:
Pb  0.701  0.201  0.500
Pt  0.497  0.497  0.000
Cd  0.303  0.803  0.500
Pb  0.999  0.999  0.000